## TePd2N (GGA-PBE)

Data for crystalline TePd2N at its relaxed geometry.

Cell lengths 6.9629, 6.9629, 6.9629 Å; angles 138.04, 138.04, 60.84 degrees
With the nearest neighbours (Å) after each atom.
Positions (direct):
Te1 0.0000 0.0000 0.0000  4 Pd 2.74
Te2 0.7500 0.2500 0.5000  4 Pd 2.74
Pd1 0.2602 0.6250 0.1352  2 N 2.03
Pd2 0.3750 0.5102 0.6352  2 N 2.03
Pd3 0.4898 0.1250 0.8648  2 N 2.03
Pd4 0.8750 0.7398 0.3648  2 N 2.03
N1 0.2500 0.7500 0.5000  4 Pd 2.03
N2 0.5000 0.5000 0.0000  4 Pd 2.03

energy above the lowest structure with this stoichiometry: 0 meV per atom
M_tot: 0.0 μB/f.u.
final energy: -5.121 eV per atom
theoretical density: 7.89 g cm⁻³
formation energy (no corrections): 0.342 eV/atom
symmetry: No. 122